1.
DFT (meta-GGA SCAN) results for a crystal of LiZn relaxed with PBEsol.

Unit cell a=2.6942 b=2.6942 c=3.9494 alpha=90.00 beta=90.00 gamma=90.00
Space group P4/mmm (No. 123)
Asymmetric unit:
1 Li 0.0000 0.0000 0.0000 [1 per cell]
2 Zn 0.5000 0.5000 0.5000 [1 per cell]

Output
For the calculated formation energy, the calculation gives -31.9 kJ/mol of formula units.

=====

2.
DFT (meta-GGA SCAN) results for a crystal of LiZn relaxed with PBEsol.

Unit cell a=2.9085 b=2.9085 c=7.0283 alpha=90.00 beta=90.00 gamma=90.00
Space group P4/nmm (No. 129, origin choice 2)
Asymmetric unit:
1 Li 0.2500 0.2500 0.1472 [2 per cell]
2 Zn 0.2500 0.2500 0.6168 [2 per cell]

Output
For the calculated formation energy, the calculation gives -27.3 kJ/mol of formula units.

=====

3.
DFT (meta-GGA SCAN) results for a crystal of LiZn2 relaxed with PBEsol.

Unit cell a=2.6860 b=2.6860 c=6.7300 alpha=90.00 beta=90.00 gamma=120.00
Space group P-3m1 (No. 164)
Asymmetric unit:
1 Li 0.0000 0.0000 0.0000 [1 per cell]
2 Zn 0.3333 0.6667 0.3312 [2 per cell]

Output
For the calculated formation energy, the calculation gives -29.5 kJ/mol of formula units.

=====

4.
DFT (meta-GGA SCAN) results for a crystal of Li4Zn3 relaxed with PBEsol.

Unit cell a=5.0287 b=5.0287 c=4.9554 alpha=90.00 beta=90.00 gamma=120.00
Space group P6/mmm (No. 191)
Asymmetric unit:
1 Li 0.0000 0.0000 0.2411 [2 per cell]
2 Li 0.3333 0.6667 0.5000 [2 per cell]
3 Zn 0.0000 0.5000 0.0000 [3 per cell]

Output
For the calculated formation energy, the calculation gives -140.4 kJ/mol of formula units. The value obtained for the relative energy among the computed polymorphs is 0 meV/atom.